Entry 1:
The following is a GGA-PBE calculation of an optimized crystal structure of KBa2Be, from Alexandria via LeMat-Bulk.

```
data_KBa2Be
_chemical_formula_sum 'K2 Ba4 Be2'
_cell_length_a 18.7572
_cell_length_b 4.0622
_cell_length_c 5.4213
_cell_angle_alpha 90.00
_cell_angle_beta 106.79
_cell_angle_gamma 90.00
_symmetry_space_group_name_H-M 'C 1 m 1'
_symmetry_Int_Tables_number 8
_symmetry_space_group_name_Hall 'C -2y'
loop_
_atom_site_label
_atom_site_type_symbol
_atom_site_fract_x
_atom_site_fract_y
_atom_site_fract_z
K1 K 0.0000 0.0000 0.0000
Ba1 Ba 0.1728 0.5000 0.6727
Ba2 Ba 0.3366 0.5000 0.3372
Be1 Be 0.3158 0.0000 0.8174
```

Results
E_form	1.75	eV/f.u.
theoretical density	2.71	g cm⁻³
V	395.5	Å³ per cell
E	-1.73	eV/atom
total moment	0.00	μB/f.u.

---

Entry 2:
The following is a GGA-PBE calculation of an optimized crystal structure of Th4Ga3RuRh12, from Alexandria via LeMat-Bulk.

```
data_Th4Ga3RuRh12
_chemical_formula_sum 'Th8 Ga6 Ru2 Rh24'
_cell_length_a 9.2380
_cell_length_b 9.2380
_cell_length_c 9.2380
_cell_angle_alpha 90.00
_cell_angle_beta 90.00
_cell_angle_gamma 90.00
_symmetry_space_group_name_H-M 'I m -3 m'
_symmetry_Int_Tables_number 229
_symmetry_space_group_name_Hall '-I 4 2 3'
loop_
_atom_site_label
_atom_site_type_symbol
_atom_site_fract_x
_atom_site_fract_y
_atom_site_fract_z
Th1 Th 0.2500 0.2500 0.2500
Ga1 Ga 0.0000 0.0000 0.5000
Ru1 Ru 0.0000 0.0000 0.0000
Rh1 Rh 0.0000 0.0000 0.2559
Rh2 Rh 0.0000 0.2500 0.5000
```

Results
E_form	-3.99	eV/f.u.
theoretical density	10.42	g cm⁻³
V	788.4	Å³ per cell
E	-7.01	eV/atom
total moment	0.00	μB/f.u.

---

Entry 3:
The following is a GGA-PBE calculation of an optimized crystal structure of ZrCrCo, from Alexandria via LeMat-Bulk.

```
data_ZrCrCo
_chemical_formula_sum 'Zr1 Cr1 Co1'
_cell_length_a 3.7616
_cell_length_b 3.7616
_cell_length_c 3.8883
_cell_angle_alpha 90.00
_cell_angle_beta 90.00
_cell_angle_gamma 120.00
_symmetry_space_group_name_H-M 'P -6 m 2'
_symmetry_Int_Tables_number 187
_symmetry_space_group_name_Hall 'P -6 2'
loop_
_atom_site_label
_atom_site_type_symbol
_atom_site_fract_x
_atom_site_fract_y
_atom_site_fract_z
Zr1 Zr 0.0000 0.0000 0.0000
Cr1 Cr 0.3333 0.6667 0.5000
Co1 Co 0.6667 0.3333 0.5000
```

Results
E_form	0.20	eV/f.u.
theoretical density	7.05	g cm⁻³
V	47.6	Å³ per cell
E	-8.36	eV/atom
total moment	0.00	μB/f.u.

---

Entry 4:
The following is a GGA-PBE calculation of an optimized crystal structure of BePBrO2, from Alexandria via LeMat-Bulk.

```
data_BePBrO2
_chemical_formula_sum 'Be1 P1 Br1 O2'
_cell_length_a 3.4541
_cell_length_b 3.4541
_cell_length_c 5.7985
_cell_angle_alpha 90.00
_cell_angle_beta 90.00
_cell_angle_gamma 90.00
_symmetry_space_group_name_H-M 'P 4/m m m'
_symmetry_Int_Tables_number 123
_symmetry_space_group_name_Hall '-P 4 2'
loop_
_atom_site_label
_atom_site_type_symbol
_atom_site_fract_x
_atom_site_fract_y
_atom_site_fract_z
Be1 Be 0.0000 0.0000 0.0000
P1 P 0.0000 0.0000 0.5000
Br1 Br 0.5000 0.5000 0.5000
O1 O 0.0000 0.5000 0.0000
```

Results
formation energy from raw total energies	-0.0052	eV per atom
theoretical density	3.65	g cm⁻³
V	69.2	Å³ per cell
E	-4.15	eV/atom
total moment	0.00	μB/f.u.